Entry from Alexandria: a relaxed Ni2BiSbP crystal (PBEsol).

Unit cell a=4.6114 b=4.6114 c=5.1166 alpha=90.00 beta=90.00 gamma=90.00
Atoms (fractional coordinates):
Ni 0.0000 0.5000 0.0000
Ni 0.5000 0.0000 0.0000
Bi 0.0000 0.0000 0.5000
Sb 0.5000 0.5000 0.0000
P 0.5000 0.5000 0.5000

Calculated values
The total magnetic moment comes out at 0.00 μB/atom. The value obtained for the raw formation energy is 82.2 kJ per mole of atoms. As for the density of states at the Fermi level: 5.170 states/eV/f.u.

Entry from Alexandria: a relaxed Fe2ReCl crystal (PBEsol).

Unit cell a=2.7414 b=2.7414 c=7.9048 alpha=90.00 beta=90.00 gamma=114.17
Atoms (fractional coordinates):
Fe 0.0000 0.0000 0.2465
Fe 0.0000 0.0000 0.7535
Re 0.5000 0.5000 0.5000
Cl 0.5000 0.5000 0.0000

Calculated values
The total magnetic moment comes out at 1.33 μB/atom. The value obtained for the raw formation energy is 37.1 kJ per mole of atoms. As for the density of states at the Fermi level: 4.123 states/eV/f.u. Its relative energy among the computed polymorphs is 0.0601 eV per atom.

Entry from Alexandria: a relaxed TaSnHgF2 crystal (PBEsol).

Unit cell a=4.0865 b=4.0865 c=5.6953 alpha=90.00 beta=90.00 gamma=90.00
Atoms (fractional coordinates):
Ta 0.0000 0.0000 0.0000
Sn 0.0000 0.0000 0.5000
Hg 0.5000 0.5000 0.5000
F 0.0000 0.5000 0.0000
F 0.5000 0.0000 0.0000

Calculated values
The total magnetic moment comes out at 0.00 μB/atom. The value obtained for the raw formation energy is -111.7 kJ per mole of atoms. As for the density of states at the Fermi level: 2.377 states/eV/f.u.

Entry from Alexandria: a relaxed Hf2MoPt crystal (PBEsol).

Unit cell a=4.6080 b=4.6080 c=4.6080 alpha=60.00 beta=60.00 gamma=60.00
Atoms (fractional coordinates):
Hf 0.2500 0.2500 0.2500
Hf 0.7500 0.7500 0.7500
Mo 0.0000 0.0000 0.0000
Pt 0.5000 0.5000 0.5000

Calculated values
The total magnetic moment comes out at 0.00 μB/atom. The value obtained for the total energy is -42.31 eV/f.u. As for the density of states at the Fermi level: 1.377 states/eV/f.u.

Entry from Alexandria: a relaxed CdTe2Se2 crystal (PBEsol).

Unit cell a=6.1034 b=6.1034 c=6.1034 alpha=123.42 beta=123.42 gamma=84.17
Atoms (fractional coordinates):
Cd 0.0000 0.0000 0.0000
Te 0.2947 0.2947 0.0000
Te 0.7053 0.7053 0.0000
Se 0.2500 0.7500 0.5000
Se 0.7500 0.2500 0.5000

Calculated values
The total magnetic moment comes out at 0.00 μB/atom. The value obtained for the raw formation energy is 7.9 kJ per mole of atoms. As for the density of states at the Fermi level: 1.532 states/eV/f.u.

Entry from Alexandria: a relaxed Ta3AuN crystal (PBEsol).

Unit cell a=4.2046 b=4.2046 c=4.2046 alpha=90.00 beta=90.00 gamma=90.00
Atoms (fractional coordinates):
Ta 0.0000 0.0000 0.5000
Ta 0.0000 0.5000 0.0000
Ta 0.5000 0.0000 0.0000
Au 0.5000 0.5000 0.5000
N 0.0000 0.0000 0.0000

Calculated values
The total magnetic moment comes out at 0.00 μB/atom. The value obtained for the raw formation energy is -53.5 kJ per mole of atoms. As for the density of states at the Fermi level: 4.113 states/eV/f.u.

Entry from Alexandria: a relaxed YTePb2 crystal (PBEsol).

Unit cell a=4.0402 b=4.3511 c=6.7082 alpha=90.00 beta=101.67 gamma=90.00
Atoms (fractional coordinates):
Y 0.0000 0.0000 0.0000
Te 0.4555 0.5000 0.8438
Pb 0.3937 0.5000 0.3118
Pb 0.9030 0.0000 0.4926

Calculated values
The total magnetic moment comes out at 0.00 μB/atom. The value obtained for the raw formation energy is -53.2 kJ per mole of atoms. As for the density of states at the Fermi level: 1.423 states/eV/f.u.

Entry from Alexandria: a relaxed HfGeRhBr2 crystal (PBEsol).

Unit cell a=4.8633 b=4.8633 c=4.7752 alpha=90.00 beta=90.00 gamma=90.00
Atoms (fractional coordinates):
Hf 0.0000 0.0000 0.0000
Ge 0.5000 0.5000 0.0000
Rh 0.5000 0.5000 0.5000
Br 0.0000 0.5000 0.5000
Br 0.5000 0.0000 0.5000

Calculated values
The total magnetic moment comes out at 0.11 μB/atom. The value obtained for the raw formation energy is 50.8 kJ per mole of atoms. As for the density of states at the Fermi level: 4.587 states/eV/f.u.

Entry from Alexandria: a relaxed Be3ZnW crystal (PBEsol).

Unit cell a=3.8960 b=3.8960 c=3.8960 alpha=90.00 beta=90.00 gamma=90.00
Atoms (fractional coordinates):
Be 0.0000 0.0000 0.5000
Be 0.0000 0.5000 0.0000
Be 0.5000 0.0000 0.0000
Zn 0.0000 0.0000 0.0000
W 0.5000 0.5000 0.5000

Calculated values
The total magnetic moment comes out at 0.00 μB/atom. The value obtained for the total energy is -21.88 eV/f.u. As for the density of states at the Fermi level: 2.665 states/eV/f.u.

Entry from Alexandria: a relaxed Ce2Si2NiPt crystal (PBEsol).

Unit cell a=7.6963 b=7.6963 c=7.6963 alpha=150.53 beta=149.22 gamma=43.14
Atoms (fractional coordinates):
Ce 0.0000 0.0000 0.0000
Ce 0.7549 0.2549 0.5000
Si 0.3403 0.8403 0.5000
Si 0.5789 0.5789 0.0000
Ni 0.4195 0.4195 0.0000
Pt 0.1695 0.6695 0.5000

Calculated values
The total magnetic moment comes out at 0.00 μB/atom. The value obtained for the raw formation energy is -87.2 kJ per mole of atoms. As for the density of states at the Fermi level: 7.570 states/eV/f.u.

Entry from Alexandria: a relaxed Ba2InBiSe5 crystal (PBEsol).

Unit cell a=9.7633 b=9.7633 c=13.0957 alpha=90.00 beta=90.00 gamma=154.51
Atoms (fractional coordinates):
Ba 0.1134 0.8866 0.5000
Ba 0.1284 0.8716 0.8729
Ba 0.8716 0.1284 0.3729
Ba 0.8866 0.1134 0.0000
In 0.4414 0.5586 0.7419
In 0.5586 0.4414 0.2419
Bi 0.2158 0.7842 0.1630
Bi 0.7842 0.2158 0.6630
Se 0.0474 0.9526 0.1273
Se 0.2840 0.7160 0.5158
Se 0.3117 0.6883 0.8204
Se 0.3594 0.6406 0.1843
Se 0.4960 0.5040 0.4143
Se 0.5040 0.4960 0.9143
Se 0.6406 0.3594 0.6843
Se 0.6883 0.3117 0.3204
Se 0.7160 0.2840 0.0158
Se 0.9526 0.0474 0.6273

Calculated values
The total magnetic moment comes out at 0.00 μB/atom. The value obtained for the raw formation energy is -117.1 kJ per mole of atoms.

Entry from Alexandria: a relaxed ZrIn4 crystal (PBEsol).

Unit cell a=5.6202 b=5.6202 c=5.6202 alpha=97.71 beta=97.71 gamma=137.02
Atoms (fractional coordinates):
Zr 0.0000 0.0000 0.0000
In 0.2021 0.3898 0.5919
In 0.3898 0.7979 0.1877
In 0.6102 0.2021 0.8123
In 0.7979 0.6102 0.4081

Calculated values
The total magnetic moment comes out at 0.00 μB/atom. As for the density of states at the Fermi level: 3.552 states/eV/f.u. Its relative energy among the computed polymorphs is 0.0000 eV per atom.

Entry from Alexandria: a relaxed TcPtO3 crystal (PBEsol).

Unit cell a=3.8225 b=3.8225 c=3.8225 alpha=90.00 beta=90.00 gamma=90.00
Atoms (fractional coordinates):
Tc 0.0000 0.0000 0.0000
Pt 0.5000 0.5000 0.5000
O 0.0000 0.0000 0.5000
O 0.0000 0.5000 0.0000
O 0.5000 0.0000 0.0000

Calculated values
The total magnetic moment comes out at 0.00 μB/atom. The value obtained for the raw formation energy is -28.4 kJ per mole of atoms. As for the density of states at the Fermi level: 4.580 states/eV/f.u.

Entry from Alexandria: a relaxed OsPt3 crystal (PBEsol).

Unit cell a=4.7276 b=4.7276 c=4.7768 alpha=99.36 beta=99.36 gamma=33.91
Atoms (fractional coordinates):
Os 0.0000 0.0000 0.0000
Pt 0.2547 0.2547 0.7582
Pt 0.5000 0.5000 0.5000
Pt 0.7453 0.7453 0.2418

Calculated values
The total magnetic moment comes out at 0.00 μB/atom. The value obtained for the total energy is -32.77 eV/f.u. As for the density of states at the Fermi level: 4.115 states/eV/f.u.

Entry from Alexandria: a relaxed Sn3Hg crystal (PBEsol).

Unit cell a=6.5700 b=6.5700 c=5.4644 alpha=90.00 beta=90.00 gamma=120.00
Atoms (fractional coordinates):
Sn 0.1667 0.3334 0.2500
Sn 0.1667 0.8333 0.2500
Sn 0.3334 0.1667 0.7500
Sn 0.6666 0.8333 0.2500
Sn 0.8333 0.1667 0.7500
Sn 0.8333 0.6666 0.7500
Hg 0.3333 0.6667 0.7500
Hg 0.6667 0.3333 0.2500

Calculated values
The total magnetic moment comes out at 0.00 μB/atom. The value obtained for the total energy is -13.21 eV/f.u. As for the density of states at the Fermi level: 2.064 states/eV/f.u.

Entry from Alexandria: a relaxed TmAl3 crystal (PBEsol).

Unit cell a=4.1818 b=4.1818 c=4.1818 alpha=90.00 beta=90.00 gamma=90.00
Atoms (fractional coordinates):
Tm 0.0000 0.0000 0.0000
Al 0.0000 0.5000 0.5000
Al 0.5000 0.0000 0.5000
Al 0.5000 0.5000 0.0000

Calculated values
The total magnetic moment comes out at 0.00 μB/atom. The value obtained for the total energy is -18.91 eV/f.u. As for the density of states at the Fermi level: 1.349 states/eV/f.u.

Entry from Alexandria: a relaxed SrTaRe2 crystal (PBEsol).

Unit cell a=4.6592 b=4.6592 c=4.6592 alpha=60.00 beta=60.00 gamma=60.00
Atoms (fractional coordinates):
Sr 0.0000 0.0000 0.0000
Ta 0.5000 0.5000 0.5000
Re 0.2500 0.2500 0.2500
Re 0.7500 0.7500 0.7500

Calculated values
The total magnetic moment comes out at 0.00 μB/atom. As for the density of states at the Fermi level: 3.533 states/eV/f.u. Its relative energy among the computed polymorphs is 0.1769 eV per atom.

Entry from Alexandria: a relaxed KHI2O crystal (PBEsol).

Unit cell a=6.6526 b=6.6526 c=5.2387 alpha=90.00 beta=90.00 gamma=90.00
Atoms (fractional coordinates):
K 0.0000 0.0000 0.0000
H 0.5000 0.5000 0.5000
I 0.0000 0.5000 0.0000
I 0.5000 0.0000 0.0000
O 0.0000 0.0000 0.5000

Calculated values
The total magnetic moment comes out at 0.81 μB/atom. The value obtained for the total energy is -9.39 eV/f.u. As for the density of states at the Fermi level: 5.910 states/eV/f.u.

Entry from Alexandria: a relaxed LaZr2SiW crystal (PBEsol).

Unit cell a=4.8538 b=4.8538 c=5.3895 alpha=90.00 beta=90.00 gamma=90.00
Atoms (fractional coordinates):
La 0.0000 0.0000 0.0000
Zr 0.0000 0.5000 0.5000
Zr 0.5000 0.0000 0.5000
Si 0.0000 0.0000 0.5000
W 0.5000 0.5000 0.0000

Calculated values
The total magnetic moment comes out at 0.25 μB/atom. The value obtained for the raw formation energy is 93.3 kJ per mole of atoms. As for the density of states at the Fermi level: 7.165 states/eV/f.u.

Entry from Alexandria: a relaxed NaBe2Se crystal (PBEsol).

Unit cell a=5.7418 b=5.7418 c=5.7418 alpha=102.35 beta=102.35 gamma=124.90
Atoms (fractional coordinates):
Na 0.0000 0.0000 0.0000
Na 0.7500 0.2500 0.5000
Be 0.2002 0.6250 0.0752
Be 0.3750 0.4502 0.5752
Be 0.5498 0.1250 0.9248
Be 0.8750 0.7998 0.4248
Se 0.2500 0.7500 0.5000
Se 0.5000 0.5000 0.0000

Calculated values
The total magnetic moment comes out at 0.00 μB/atom. The value obtained for the raw formation energy is 32.4 kJ per mole of atoms. As for the density of states at the Fermi level: 2.774 states/eV/f.u.

Entry from Alexandria: a relaxed Y2MgZn crystal (PBEsol).

Unit cell a=5.1298 b=5.1298 c=5.1298 alpha=60.00 beta=60.00 gamma=60.00
Atoms (fractional coordinates):
Y 0.2500 0.2500 0.2500
Y 0.7500 0.7500 0.7500
Mg 0.0000 0.0000 0.0000
Zn 0.5000 0.5000 0.5000

Calculated values
The total magnetic moment comes out at 0.00 μB/atom. As for the density of states at the Fermi level: 4.791 states/eV/f.u. Its relative energy among the computed polymorphs is 0.0038 eV per atom.

Entry from Alexandria: a relaxed CaMg8 crystal (PBEsol).

Unit cell a=7.2471 b=7.2471 c=7.2471 alpha=95.79 beta=95.79 gamma=142.98
Atoms (fractional coordinates):
Ca 0.0000 0.0000 0.0000
Mg 0.0000 0.3395 0.3395
Mg 0.0000 0.6605 0.6605
Mg 0.3263 0.3263 0.6526
Mg 0.3263 0.6737 0.0000
Mg 0.3395 0.0000 0.3395
Mg 0.6605 0.0000 0.6605
Mg 0.6737 0.3263 0.0000
Mg 0.6737 0.6737 0.3474

Calculated values
The total magnetic moment comes out at 0.00 μB/atom. The value obtained for the total energy is -16.02 eV/f.u. As for the density of states at the Fermi level: 4.169 states/eV/f.u.

Entry from Alexandria: a relaxed Rb2InF crystal (PBEsol).

Unit cell a=5.8413 b=5.8413 c=5.8413 alpha=60.00 beta=60.00 gamma=60.00
Atoms (fractional coordinates):
Rb 0.2500 0.2500 0.2500
Rb 0.7500 0.7500 0.7500
In 0.0000 0.0000 0.0000
F 0.5000 0.5000 0.5000

Calculated values
The total magnetic moment comes out at 0.00 μB/atom. The value obtained for the raw formation energy is -62.0 kJ per mole of atoms. As for the density of states at the Fermi level: 1.321 states/eV/f.u.

Entry from Alexandria: a relaxed RbInPb crystal (PBEsol).

Unit cell a=4.9290 b=4.9290 c=8.8162 alpha=90.00 beta=90.00 gamma=90.00
Atoms (fractional coordinates):
Rb 0.2500 0.2500 0.1618
Rb 0.7500 0.7500 0.8382
In 0.2500 0.7500 0.5000
In 0.7500 0.2500 0.5000
Pb 0.2500 0.2500 0.7114
Pb 0.7500 0.7500 0.2886

Calculated values
The total magnetic moment comes out at 0.00 μB/atom. The value obtained for the total energy is -8.57 eV/f.u. As for the density of states at the Fermi level: 0.758 states/eV/f.u.

Entry from Alexandria: a relaxed AsNCl2 crystal (PBEsol).

Unit cell a=4.4788 b=4.4788 c=4.4788 alpha=60.00 beta=60.00 gamma=60.00
Atoms (fractional coordinates):
As 0.0000 0.0000 0.0000
N 0.5000 0.5000 0.5000
Cl 0.2500 0.2500 0.2500
Cl 0.7500 0.7500 0.7500

Calculated values
The total magnetic moment comes out at 0.51 μB/atom. The value obtained for the raw formation energy is 119.7 kJ per mole of atoms. As for the density of states at the Fermi level: 1.146 states/eV/f.u.

Entry from Alexandria: a relaxed AgSbRu2 crystal (PBEsol).

Unit cell a=4.8328 b=4.8328 c=4.8328 alpha=131.09 beta=131.09 gamma=71.66
Atoms (fractional coordinates):
Ag 0.0000 0.0000 0.0000
Sb 0.2500 0.7500 0.5000
Ru 0.5000 0.5000 0.0000
Ru 0.7500 0.2500 0.5000

Calculated values
The total magnetic moment comes out at 0.00 μB/atom. The value obtained for the raw formation energy is 41.2 kJ per mole of atoms. As for the density of states at the Fermi level: 5.568 states/eV/f.u.

Entry from Alexandria: a relaxed BaSrRu crystal (PBEsol).

Unit cell a=7.7633 b=7.7633 c=7.7633 alpha=153.00 beta=153.00 gamma=38.55
Atoms (fractional coordinates):
Ba 0.0000 0.0000 0.0000
Sr 0.7584 0.7584 0.0000
Ru 0.3759 0.3759 0.0000

Calculated values
The total magnetic moment comes out at 0.00 μB/atom. As for the density of states at the Fermi level: 2.744 states/eV/f.u. Its relative energy among the computed polymorphs is 0.0000 eV per atom.